--- i ---
# CdSb2Pd6

CdSb2Pd6 after structural relaxation (PBE-GGA, the Alexandria database).

Values from the calculation:
**Space group**: No. 2

Lattice parameters (Å, degrees): 3.937 4.950 9.084 78.77 89.96 66.57
Fractional positions:
Cd: 0.000 0.000 0.000
Sb: 0.299 0.405 0.733
Sb: 0.701 0.595 0.267
Pd: 0.012 0.973 0.316
Pd: 0.315 0.369 0.113
Pd: 0.345 0.308 0.448
Pd: 0.655 0.692 0.552
Pd: 0.685 0.631 0.887
Pd: 0.988 0.027 0.684

---

--- ii ---
# CdSb2Pd6

CdSb2Pd6 after structural relaxation (PBE-GGA, the Alexandria database).

Values from the calculation:
**Space group**: No. 136

Lattice parameters (Å, degrees): 8.419 8.419 4.368 90.00 90.00 90.00
Fractional positions:
Cd: 0.000 0.000 0.000
Cd: 0.500 0.500 0.500
Sb: 0.202 0.202 0.500
Sb: 0.298 0.702 0.000
Sb: 0.702 0.298 0.000
Sb: 0.798 0.798 0.500
Pd: 0.024 0.332 0.000
Pd: 0.137 0.863 0.500
Pd: 0.168 0.524 0.500
Pd: 0.332 0.024 0.000
Pd: 0.363 0.363 0.000
Pd: 0.476 0.832 0.500
Pd: 0.524 0.168 0.500
Pd: 0.637 0.637 0.000
Pd: 0.668 0.976 0.000
Pd: 0.832 0.476 0.500
Pd: 0.863 0.137 0.500
Pd: 0.976 0.668 0.000

---

Stability summary: most stable i, least stable ii.

---

--- i ---
# ScCd2Pd8

ScCd2Pd8 after structural relaxation (PBE-GGA, the Alexandria database).

Values from the calculation:
**Space group**: No. 65

Lattice parameters (Å, degrees): 6.775 6.775 4.353 90.00 90.00 105.50
Fractional positions:
Sc: 0.000 0.000 0.000
Cd: 0.373 0.627 0.500
Cd: 0.627 0.373 0.500
Pd: 0.038 0.301 0.500
Pd: 0.238 0.762 0.000
Pd: 0.301 0.038 0.500
Pd: 0.328 0.328 0.000
Pd: 0.672 0.672 0.000
Pd: 0.699 0.962 0.500
Pd: 0.762 0.238 0.000
Pd: 0.962 0.699 0.500

---

--- ii ---
# ScCd2Pd8

ScCd2Pd8 after structural relaxation (PBE-GGA, the Alexandria database).

Values from the calculation:
**Space group**: No. 12

Lattice parameters (Å, degrees): 7.489 7.489 6.342 104.95 104.95 31.80
Fractional positions:
Sc: 0.000 0.000 0.000
Cd: 0.275 0.275 0.353
Cd: 0.725 0.725 0.647
Pd: 0.090 0.090 0.453
Pd: 0.179 0.179 0.910
Pd: 0.365 0.365 0.823
Pd: 0.459 0.459 0.275
Pd: 0.541 0.541 0.725
Pd: 0.635 0.635 0.177
Pd: 0.821 0.821 0.090
Pd: 0.910 0.910 0.547

---

Stability summary: most stable ii, least stable i.

---

--- i ---
# ScCd3Pd

ScCd3Pd after structural relaxation (PBE-GGA, the Alexandria database).

Values from the calculation:
**Space group**: No. 221

Lattice parameters (Å, degrees): 5.075 5.075 5.075 90.00 90.00 90.00
Fractional positions:
Sc: 0.000 0.000 0.000
Cd: 0.000 0.500 0.500
Cd: 0.500 0.000 0.500
Cd: 0.500 0.500 0.000
Pd: 0.500 0.500 0.500

---

--- ii ---
# ScCd3Pd

ScCd3Pd after structural relaxation (PBE-GGA, the Alexandria database).

Values from the calculation:
**Space group**: No. 62

Lattice parameters (Å, degrees): 9.615 3.489 12.620 90.00 90.00 90.00
Fractional positions:
Sc: 0.178 0.250 0.000
Sc: 0.322 0.750 0.500
Sc: 0.678 0.250 0.500
Sc: 0.822 0.750 0.000
Cd: 0.055 0.750 0.190
Cd: 0.056 0.250 0.410
Cd: 0.192 0.750 0.791
Cd: 0.308 0.250 0.291
Cd: 0.444 0.750 0.910
Cd: 0.445 0.250 0.690
Cd: 0.555 0.750 0.310
Cd: 0.556 0.250 0.090
Cd: 0.692 0.750 0.709
Cd: 0.808 0.250 0.209
Cd: 0.944 0.750 0.590
Cd: 0.945 0.250 0.810
Pd: 0.172 0.250 0.618
Pd: 0.328 0.750 0.118
Pd: 0.672 0.250 0.882
Pd: 0.828 0.750 0.382

---

Stability summary: most stable ii, least stable i.

---

--- i ---
# ScCd3Pd

ScCd3Pd after structural relaxation (PBE-GGA, the Alexandria database).

Values from the calculation:
**Space group**: No. 221

Lattice parameters (Å, degrees): 5.459 5.459 5.459 90.00 90.00 90.00
Fractional positions:
Sc: 0.000 0.000 0.000
Cd: 0.000 0.000 0.500
Cd: 0.000 0.500 0.000
Cd: 0.500 0.000 0.000
Pd: 0.500 0.500 0.500

---

--- ii ---
# ScCd3Pd

ScCd3Pd after structural relaxation (PBE-GGA, the Alexandria database).

Values from the calculation:
**Space group**: No. 119

Lattice parameters (Å, degrees): 10.109 10.109 10.109 149.41 149.41 43.81
Fractional positions:
Sc: 0.216 0.216 0.000
Sc: 0.784 0.784 0.000
Cd: 0.375 0.127 0.751
Cd: 0.375 0.624 0.249
Cd: 0.376 0.625 0.751
Cd: 0.541 0.041 0.500
Cd: 0.873 0.625 0.249
Cd: 0.959 0.459 0.500
Pd: 0.250 0.750 0.500
Pd: 0.500 0.500 0.000

---

Stability summary: most stable ii, least stable i.

---

--- i ---
# Sc3CdPd6

Sc3CdPd6 after structural relaxation (PBE-GGA, the Alexandria database).

Values from the calculation:
**Space group**: No. 36

Lattice parameters (Å, degrees): 8.535 8.535 5.193 90.00 90.00 107.58
Fractional positions:
Sc: 0.110 0.890 0.500
Sc: 0.217 0.407 0.133
Sc: 0.407 0.217 0.633
Sc: 0.593 0.783 0.133
Sc: 0.783 0.593 0.633
Sc: 0.890 0.110 0.000
Cd: 0.320 0.680 0.533
Cd: 0.680 0.320 0.033
Pd: 0.026 0.468 0.770
Pd: 0.084 0.199 0.523
Pd: 0.199 0.084 0.023
Pd: 0.242 0.758 0.029
Pd: 0.468 0.026 0.270
Pd: 0.479 0.521 0.827
Pd: 0.521 0.479 0.327
Pd: 0.532 0.974 0.770
Pd: 0.758 0.242 0.529
Pd: 0.801 0.916 0.523
Pd: 0.916 0.801 0.023
Pd: 0.974 0.532 0.270

---

--- ii ---
# Sc3CdPd6

Sc3CdPd6 after structural relaxation (PBE-GGA, the Alexandria database).

Values from the calculation:
**Space group**: No. 11

Lattice parameters (Å, degrees): 7.729 4.758 10.096 90.00 112.18 90.00
Fractional positions:
Sc: 0.062 0.250 0.211
Sc: 0.306 0.250 0.013
Sc: 0.347 0.750 0.381
Sc: 0.653 0.250 0.619
Sc: 0.694 0.750 0.987
Sc: 0.938 0.750 0.789
Cd: 0.127 0.750 0.577
Cd: 0.873 0.250 0.423
Pd: 0.082 0.250 0.723
Pd: 0.116 0.750 0.080
Pd: 0.277 0.250 0.515
Pd: 0.310 0.750 0.871
Pd: 0.473 0.250 0.317
Pd: 0.487 0.250 0.825
Pd: 0.513 0.750 0.175
Pd: 0.527 0.750 0.683
Pd: 0.690 0.250 0.129
Pd: 0.723 0.750 0.485
Pd: 0.884 0.250 0.920
Pd: 0.918 0.750 0.277

---

Stability summary: most stable ii, least stable i.

---

--- i ---
# Cd2PdSe2

Cd2PdSe2 after structural relaxation (PBE-GGA, the Alexandria database).

Values from the calculation:
**Space group**: No. 127

Lattice parameters (Å, degrees): 7.358 7.358 4.099 90.00 90.00 90.00
Fractional positions:
Cd: 0.138 0.362 0.000
Cd: 0.362 0.862 0.000
Cd: 0.638 0.138 0.000
Cd: 0.862 0.638 0.000
Pd: 0.000 0.000 0.500
Pd: 0.500 0.500 0.500
Se: 0.190 0.690 0.500
Se: 0.310 0.190 0.500
Se: 0.690 0.810 0.500
Se: 0.810 0.310 0.500

---

--- ii ---
# Cd2PdSe2

Cd2PdSe2 after structural relaxation (PBE-GGA, the Alexandria database).

Values from the calculation:
**Space group**: No. 139

Lattice parameters (Å, degrees): 4.289 4.289 13.159 90.00 90.00 90.00
Fractional positions:
Cd: 0.000 0.500 0.250
Cd: 0.000 0.500 0.750
Cd: 0.500 0.000 0.250
Cd: 0.500 0.000 0.750
Pd: 0.000 0.000 0.000
Pd: 0.500 0.500 0.500
Se: 0.000 0.000 0.383
Se: 0.000 0.000 0.617
Se: 0.500 0.500 0.117
Se: 0.500 0.500 0.883

---

Stability summary: most stable i, least stable ii.

---

--- i ---
# Cd2PdSe

Cd2PdSe after structural relaxation (PBE-GGA, the Alexandria database).

Values from the calculation:
**Space group**: No. 225

Lattice parameters (Å, degrees): 6.838 6.838 6.838 90.00 90.00 90.00
Fractional positions:
Cd: 0.250 0.250 0.250
Cd: 0.250 0.250 0.750
Cd: 0.250 0.750 0.250
Cd: 0.250 0.750 0.750
Cd: 0.750 0.250 0.250
Cd: 0.750 0.250 0.750
Cd: 0.750 0.750 0.250
Cd: 0.750 0.750 0.750
Pd: 0.000 0.000 0.000
Pd: 0.000 0.500 0.500
Pd: 0.500 0.000 0.500
Pd: 0.500 0.500 0.000
Se: 0.000 0.000 0.500
Se: 0.000 0.500 0.000
Se: 0.500 0.000 0.000
Se: 0.500 0.500 0.500

---

--- ii ---
# Cd2PdSe

Cd2PdSe after structural relaxation (PBE-GGA, the Alexandria database).

Values from the calculation:
**Space group**: No. 122

Lattice parameters (Å, degrees): 6.341 6.341 11.734 90.00 90.00 90.00
Fractional positions:
Cd: 0.249 0.250 0.125
Cd: 0.250 0.749 0.375
Cd: 0.250 0.751 0.875
Cd: 0.251 0.250 0.625
Cd: 0.749 0.750 0.625
Cd: 0.750 0.249 0.875
Cd: 0.750 0.251 0.375
Cd: 0.751 0.750 0.125
Pd: 0.000 0.000 0.000
Pd: 0.000 0.500 0.250
Pd: 0.500 0.000 0.750
Pd: 0.500 0.500 0.500
Se: 0.000 0.000 0.500
Se: 0.000 0.500 0.750
Se: 0.500 0.000 0.250
Se: 0.500 0.500 0.000

---

Stability summary: most stable i, least stable ii.

---

--- i ---
# Cd3PdSe

Cd3PdSe after structural relaxation (PBE-GGA, the Alexandria database).

Values from the calculation:
**Space group**: No. 221

Lattice parameters (Å, degrees): 5.277 5.277 5.277 90.00 90.00 90.00
Fractional positions:
Cd: 0.000 0.000 0.500
Cd: 0.000 0.500 0.000
Cd: 0.500 0.000 0.000
Pd: 0.500 0.500 0.500
Se: 0.000 0.000 0.000

---

--- ii ---
# Cd3PdSe

Cd3PdSe after structural relaxation (PBE-GGA, the Alexandria database).

Values from the calculation:
**Space group**: No. 221

Lattice parameters (Å, degrees): 5.150 5.150 5.150 90.00 90.00 90.00
Fractional positions:
Cd: 0.000 0.000 0.500
Cd: 0.000 0.500 0.000
Cd: 0.500 0.000 0.000
Pd: 0.000 0.000 0.000
Se: 0.500 0.500 0.500

---

Stability summary: most stable ii, least stable i.

---

--- i ---
# Cd3SiPd

Cd3SiPd after structural relaxation (PBE-GGA, the Alexandria database).

Values from the calculation:
**Space group**: No. 221

Lattice parameters (Å, degrees): 5.001 5.001 5.001 90.00 90.00 90.00
Fractional positions:
Cd: 0.000 0.000 0.500
Cd: 0.000 0.500 0.000
Cd: 0.500 0.000 0.000
Si: 0.000 0.000 0.000
Pd: 0.500 0.500 0.500

---

--- ii ---
# Cd3SiPd

Cd3SiPd after structural relaxation (PBE-GGA, the Alexandria database).

Values from the calculation:
**Space group**: No. 221

Lattice parameters (Å, degrees): 5.110 5.110 5.110 90.00 90.00 90.00
Fractional positions:
Cd: 0.000 0.000 0.500
Cd: 0.000 0.500 0.000
Cd: 0.500 0.000 0.000
Si: 0.500 0.500 0.500
Pd: 0.000 0.000 0.000

---

Stability summary: most stable ii, least stable i.

---

--- i ---
# CdSiPd4

CdSiPd4 after structural relaxation (PBE-GGA, the Alexandria database).

Values from the calculation:
**Space group**: No. 62

Lattice parameters (Å, degrees): 7.215 3.018 17.341 90.00 90.00 90.00
Fractional positions:
Cd: 0.209 0.250 0.187
Cd: 0.291 0.750 0.687
Cd: 0.709 0.250 0.313
Cd: 0.791 0.750 0.813
Si: 0.246 0.750 0.453
Si: 0.254 0.250 0.953
Si: 0.746 0.750 0.047
Si: 0.754 0.250 0.547
Pd: 0.025 0.750 0.568
Pd: 0.026 0.750 0.294
Pd: 0.114 0.750 0.051
Pd: 0.165 0.750 0.851
Pd: 0.335 0.250 0.351
Pd: 0.386 0.250 0.551
Pd: 0.474 0.250 0.794
Pd: 0.475 0.250 0.068
Pd: 0.525 0.750 0.932
Pd: 0.526 0.750 0.206
Pd: 0.614 0.750 0.449
Pd: 0.665 0.750 0.649
Pd: 0.835 0.250 0.149
Pd: 0.886 0.250 0.949
Pd: 0.974 0.250 0.706
Pd: 0.975 0.250 0.432

---

--- ii ---
# CdSiPd4

CdSiPd4 after structural relaxation (PBE-GGA, the Alexandria database).

Values from the calculation:
**Space group**: No. 123

Lattice parameters (Å, degrees): 4.006 4.006 6.687 90.00 90.00 90.00
Fractional positions:
Cd: 0.000 0.000 0.000
Si: 0.500 0.500 0.500
Pd: 0.000 0.500 0.290
Pd: 0.000 0.500 0.710
Pd: 0.500 0.000 0.290
Pd: 0.500 0.000 0.710

---

Stability summary: most stable i, least stable ii.

---

--- i ---
# Sm2Cd3Pd2

Sm2Cd3Pd2 after structural relaxation (PBE-GGA, the Alexandria database).

Values from the calculation:
**Space group**: No. 12

Lattice parameters (Å, degrees): 10.005 4.502 7.514 90.00 110.29 90.00
Fractional positions:
Sm: 0.140 0.000 0.280
Sm: 0.360 0.500 0.720
Sm: 0.640 0.500 0.280
Sm: 0.860 0.000 0.720
Cd: 0.000 0.500 0.500
Cd: 0.128 0.500 0.941
Cd: 0.372 0.000 0.059
Cd: 0.500 0.000 0.500
Cd: 0.628 0.000 0.941
Cd: 0.872 0.500 0.059
Pd: 0.153 0.000 0.695
Pd: 0.347 0.500 0.305
Pd: 0.653 0.500 0.695
Pd: 0.847 0.000 0.305

---

--- ii ---
# Sm2Cd3Pd2

Sm2Cd3Pd2 after structural relaxation (PBE-GGA, the Alexandria database).

Values from the calculation:
**Space group**: No. 12

Lattice parameters (Å, degrees): 10.382 4.018 7.768 90.00 94.63 90.00
Fractional positions:
Sm: 0.124 0.000 0.347
Sm: 0.376 0.500 0.653
Sm: 0.624 0.500 0.347
Sm: 0.876 0.000 0.653
Cd: 0.000 0.500 0.000
Cd: 0.187 0.000 0.871
Cd: 0.313 0.500 0.129
Cd: 0.500 0.000 0.000
Cd: 0.687 0.500 0.871
Cd: 0.813 0.000 0.129
Pd: 0.092 0.500 0.639
Pd: 0.408 0.000 0.361
Pd: 0.592 0.000 0.639
Pd: 0.908 0.500 0.361

---

Stability summary: most stable i, least stable ii.